A plane-wave DFT calculation with PBE was carried out for LaMnInGa2 after structural relaxation.

Values from the calculation:
The formation energy from the elements comes out at 0.39 eV/atom. As for the energy above the most stable polymorph in this dataset: 662 meV per atom. The value obtained for the calculated volume is 135 Å³/cell.

```
LaMnInGa2
1.0
5.182 0.000 0.000
0.000 5.020 0.000
0.000 0.000 5.182
Ga La Mn In
2 1 1 1
direct
0.500 0.000 0.000 Ga
0.000 0.000 0.500 Ga
0.500 0.500 0.500 La
0.000 0.500 0.000 Mn
0.000 0.000 0.000 In
```